A relaxed structure of Ca7Br6, computed with GGA-PBE.

Unit cell a=7.0716 b=7.0716 c=39.3982 alpha=90.00 beta=90.00 gamma=120.00
Space group R-3m (No. 166, hexagonal axes)
Symmetry-distinct sites (fractional):
Ca 0.0000 0.0000 0.0000
Ca 0.0036 0.5018 0.4183
Br 0.0000 0.0000 0.1372
Br 0.0000 0.0000 0.3050
Br 0.0000 0.0000 0.4177

* ΔE_f (raw): -0.963 eV per atom
* spin magnetization: 0.000 μB/cell
* uncorrected energy: -109.70 eV/cell
* crystal system: trigonal